Compound: CuReRh
Source: Alexandria via LeMat-Bulk
Functional: meta-GGA SCAN
Structure: single point on PBEsol structure

Computed properties:
The calculation puts the density of states at the Fermi level at 4.68 states/eV/f.u. As for the volume: 15.853 Å³/atom. The value obtained for the total energy is -39.277 eV per atom. The energy of formation from the pure elements is 71.94 kJ/mol of atoms.

Cell lengths 4.067, 4.067, 4.067 Å; angles 60.00, 60.00, 60.00 degrees
Positions (direct):
Cu 0.500 0.500 0.500
Rh 0.000 0.000 0.000
Re 0.250 0.250 0.250

Compound: CuReRh2
Source: Alexandria via LeMat-Bulk
Functional: meta-GGA SCAN
Structure: single point on PBEsol structure

Computed properties:
The calculation puts the density of states at the Fermi level at 2.29 states/eV/f.u. As for the volume: 13.272 Å³/atom. The value obtained for the total energy is -38.520 eV per atom. The energy of formation from the pure elements is -5.76 kJ/mol of atoms.

Cell lengths 2.703, 3.695, 5.316 Å; angles 90.00, 90.00, 90.00 degrees
Positions (direct):
Re 0.500 0.500 0.500
Rh 0.000 0.000 0.249
Rh 0.000 0.000 0.751
Cu 0.500 0.500 0.000

Compound: Cu2ReRh
Source: Alexandria via LeMat-Bulk
Functional: meta-GGA SCAN
Structure: single point on PBEsol structure

Computed properties:
The calculation puts the density of states at the Fermi level at 2.93 states/eV/f.u. As for the volume: 13.116 Å³/atom. The value obtained for the total energy is -33.524 eV per atom. The energy of formation from the pure elements is 28.26 kJ/mol of atoms.

Cell lengths 2.672, 4.442, 5.124 Å; angles 115.69, 105.12, 90.00 degrees
Positions (direct):
Rh 0.500 0.000 0.000
Cu 0.751 0.751 0.502
Cu 0.249 0.249 0.498
Re 0.000 0.500 0.000

Taking the records one at a time from the top gives size of the total moment values of 0.0, 0.0, 0.0 μB/cell.